{"formula": "Li4V3Cr3Sn2O16", "functional": "PBE+U", "state": "relaxed", "lattice": [[5.943, 0.005, 0.000], [2.967, 5.212, -0.003], [0.057, 0.001, 9.769]], "species": ["O", "O", "O", "O", "O", "O", "O", "O", "O", "O", "O", "O", "O", "O", "O", "O", "V", "V", "V", "Li", "Li", "Li", "Li", "Sn", "Sn", "Cr", "Cr", "Cr"], "frac_coords": [[0.968, 0.523, 0.662], [0.837, 0.320, 0.402], [0.491, 0.477, 0.160], [0.319, 0.838, 0.399], [0.357, 0.315, 0.395], [0.838, 0.837, 0.399], [0.993, 0.994, 0.693], [0.517, 0.520, 0.664], [0.677, 0.159, 0.899], [0.677, 0.676, 0.891], [0.487, 0.034, 0.161], [0.982, 0.013, 0.193], [0.158, 0.159, 0.901], [0.522, 0.966, 0.662], [0.157, 0.681, 0.902], [0.037, 0.481, 0.163], [0.170, 0.661, 0.288], [0.654, 0.174, 0.281], [0.828, 0.829, 0.781], [0.339, 0.332, 0.605], [0.995, 0.002, 0.007], [0.673, 0.666, 0.103], [0.994, 0.003, 0.506], [0.664, 0.665, 0.508], [0.329, 0.334, 0.007], [0.338, 0.831, 0.787], [0.831, 0.339, 0.786], [0.169, 0.170, 0.286]], "e_tot_ev_per_atom": -6.981}